Dy6YPu: relaxed, PBE.

Properties
Energy relative to the elements in eV/atom: 0.056
E_tot in eV per cell: -47.96
Symmetry: P-1 (2)

```
Dy6YPu
1.0
6.097 0.000 0.000
-1.051 6.027 0.000
-0.001 -2.071 6.731
Dy Y Pu
6 1 1
direct
0.002 0.499 0.246
0.251 0.007 0.629
0.256 0.001 0.123
0.744 0.999 0.877
0.749 0.993 0.371
0.998 0.501 0.754
0.500 0.500 0.500
0.500 0.500 0.000
```